# LiZrSi

A relaxed structure of LiZrSi (PBE-GGA, the Alexandria database).

Results
The raw total energy is -5.49 eV per atom.

a = 5.3919 Å, b = 5.3919 Å, c = 5.3919 Å
α = 149.89°, β = 139.58°, γ = 51.22°
Last column: nearest neighbours and their distance in Å.
Fractional coordinates of all 3 atoms:
Li: 0.9713 0.9713 0.0000  4 Si 2.61, 2 Li 2.80, 1 Zr 2.84
Si: 0.3498 0.3498 0.0000  4 Li 2.61, 2 Si 2.80, 4 Zr 2.86
Zr: 0.6790 0.6790 0.0000  2 Zr 2.80, 5 Li 2.84-3.08, 4 Si 2.86